Record 1
Below is SmGe2Au3 after structural relaxation, with properties calculated at the PBE level.

Results
Total magnetization   0.0 μB per formula unit
Calculated total energy   -52.91 eV per cell
Space-group type   C2/m

Cell and atoms, written as POSCAR:
```
SmGe2Au3
1.0
8.1524 -2.2952 0.0000
8.1524 2.2952 0.0000
-2.8298 0.0000 6.5585
Sm Ge Au
2 4 6
Direct
0.1339 0.1339 0.1939
0.8661 0.8661 0.8061
0.2147 0.2147 0.6808
0.4941 0.4941 0.1771
0.5059 0.5059 0.8229
0.7853 0.7853 0.3192
0.0550 0.0550 0.7229
0.3156 0.3156 0.0599
0.3526 0.3526 0.4970
0.6474 0.6474 0.5030
0.6844 0.6844 0.9401
0.9450 0.9450 0.2771
```

Record 2
Below is Sm3Ge5Au6 after structural relaxation, with properties calculated at the PBE level.

Results
Total magnetization   0.0 μB per formula unit
Calculated total energy   -129.65 eV per cell
Space-group type   Pmmn

Cell and atoms, written as POSCAR:
```
Sm3Ge5Au6
1.0
4.3434 0.0000 0.0000
0.0000 13.0358 0.0000
0.0000 0.0000 10.1936
Sm Ge Au
6 10 12
Direct
0.2500 0.0748 0.2454
0.2500 0.4252 0.2454
0.2500 0.7500 0.2471
0.7500 0.2500 0.7529
0.7500 0.5748 0.7546
0.7500 0.9252 0.7546
0.2500 0.0883 0.8622
0.2500 0.4117 0.8622
0.2500 0.6204 0.5290
0.2500 0.7500 0.7953
0.2500 0.8796 0.5290
0.7500 0.1204 0.4710
0.7500 0.2500 0.2047
0.7500 0.3796 0.4710
0.7500 0.5883 0.1378
0.7500 0.9117 0.1378
0.2500 0.0733 0.6152
0.2500 0.2500 0.0215
0.2500 0.2500 0.4522
0.2500 0.4267 0.6152
0.2500 0.5917 0.9892
0.2500 0.9083 0.9892
0.7500 0.0917 0.0108
0.7500 0.4083 0.0108
0.7500 0.5733 0.3848
0.7500 0.7500 0.5478
0.7500 0.7500 0.9785
0.7500 0.9267 0.3848
```

Record 3
Below is SmGe4Au12 after structural relaxation, with properties calculated at the PBE level.

Results
Total magnetization   0.0 μB per formula unit
Calculated total energy   -62.31 eV per cell
Space-group type   Im-3

Cell and atoms, written as POSCAR:
```
SmGe4Au12
1.0
-4.5172 4.5172 4.5172
4.5172 -4.5172 4.5172
4.5172 4.5172 -4.5172
Sm Ge Au
1 4 12
Direct
0.0000 0.0000 0.0000
0.0000 0.0000 0.5000
0.0000 0.5000 0.0000
0.5000 0.0000 0.0000
0.5000 0.5000 0.5000
0.1535 0.3424 0.4959
0.1535 0.6576 0.8111
0.1889 0.8465 0.3424
0.3424 0.1889 0.8465
0.3424 0.4959 0.1535
0.4959 0.1535 0.3424
0.5041 0.8465 0.6576
0.6576 0.5041 0.8465
0.6576 0.8111 0.1535
0.8111 0.1535 0.6576
0.8465 0.3424 0.1889
0.8465 0.6576 0.5041
```

Record 4
Below is Sm7Ge5Au after structural relaxation, with properties calculated at the PBE level.

Results
Total magnetization   0.0 μB per formula unit
Calculated total energy   -66.50 eV per cell
Space-group type   Imm2

Cell and atoms, written as POSCAR:
```
Sm7Ge5Au
1.0
-3.0750 5.5111 5.0139
3.0750 -5.5111 5.0139
3.0750 5.5111 -5.0139
Sm Ge Au
7 5 1
Direct
0.0000 0.0000 0.0000
0.0004 0.6814 0.3190
0.3624 0.6814 0.6810
0.4054 0.4054 0.0000
0.4600 0.1267 0.3333
0.7935 0.1267 0.6667
0.8722 0.3722 0.5000
0.1499 0.1940 0.5223
0.1499 0.6276 0.9559
0.3952 0.8952 0.5000
0.6718 0.1940 0.0441
0.6718 0.6276 0.4777
0.7039 0.7039 0.0000
```

Record 5
Below is Sm5Ge2Au2 after structural relaxation, with properties calculated at the PBE level.

Results
Total magnetization   0.0 μB per formula unit
Calculated total energy   -92.48 eV per cell
Space-group type   Cmce

Cell and atoms, written as POSCAR:
```
Sm5Ge2Au2
1.0
7.8260 -3.8993 0.0000
7.8260 3.8993 0.0000
0.0000 0.0000 7.7763
Sm Ge Au
10 4 4
Direct
0.0000 0.0000 0.0000
0.0411 0.6878 0.6689
0.1878 0.5411 0.1689
0.3122 0.9589 0.6689
0.4589 0.8122 0.1689
0.5000 0.5000 0.5000
0.5411 0.1878 0.8311
0.6878 0.0411 0.3311
0.8122 0.4589 0.8311
0.9589 0.3122 0.3311
0.1255 0.8745 0.3731
0.3745 0.6255 0.8731
0.6255 0.3745 0.1269
0.8745 0.1255 0.6269
0.2061 0.2061 0.0000
0.2939 0.2939 0.5000
0.7061 0.7061 0.5000
0.7939 0.7939 0.0000
```

Record 6
Below is Sm2Ge3Au6 after structural relaxation, with properties calculated at the PBE level.

Results
Total magnetization   0.0 μB per formula unit
Calculated total energy   -48.09 eV per cell
Space-group type   P-62m

Cell and atoms, written as POSCAR:
```
Sm2Ge3Au6
1.0
7.7871 0.0000 0.0000
-3.8935 6.7438 0.0000
0.0000 0.0000 4.4303
Sm Ge Au
2 3 6
Direct
0.3333 0.6667 0.0000
0.6667 0.3333 0.0000
0.0000 0.6369 0.5000
0.3631 0.3631 0.5000
0.6369 0.0000 0.5000
0.0000 0.3169 0.5000
0.0000 0.7893 0.0000
0.2107 0.2107 0.0000
0.3169 0.0000 0.5000
0.6831 0.6831 0.5000
0.7893 0.0000 0.0000
```

Record 7
Below is SmGe2Au3 after structural relaxation, with properties calculated at the PBE level.

Results
Total magnetization   0.0 μB per formula unit
Calculated total energy   -79.16 eV per cell
Space-group type   C2/m

Cell and atoms, written as POSCAR:
```
SmGe2Au3
1.0
8.4743 -2.2459 0.0000
8.4743 2.2459 0.0000
-2.4361 0.0000 9.7907
Sm Ge Au
3 6 9
Direct
0.0000 0.0000 0.0000
0.1766 0.1766 0.7085
0.8234 0.8234 0.2915
0.1897 0.1897 0.1049
0.3440 0.3440 0.5228
0.4713 0.4713 0.2182
0.5287 0.5287 0.7818
0.6560 0.6560 0.4772
0.8103 0.8103 0.8951
0.0088 0.0088 0.3343
0.1899 0.1899 0.3708
0.3315 0.3315 0.0610
0.3800 0.3800 0.8104
0.5000 0.5000 0.5000
0.6200 0.6200 0.1896
0.6685 0.6685 0.9390
0.8101 0.8101 0.6292
0.9912 0.9912 0.6657
```

Record 8
Below is SmGe2Au7 after structural relaxation, with properties calculated at the PBE level.

Results
Total magnetization   0.0 μB per formula unit
Calculated total energy   -38.43 eV per cell
Space-group type   Cmmm

Cell and atoms, written as POSCAR:
```
SmGe2Au7
1.0
3.6917 -6.8500 0.0000
3.6917 6.8500 0.0000
0.0000 0.0000 4.6236
Sm Ge Au
1 2 7
Direct
0.0000 0.0000 0.0000
0.2976 0.7024 0.5000
0.7024 0.2976 0.5000
0.0765 0.3021 0.5000
0.2205 0.7795 0.0000
0.3021 0.0765 0.5000
0.5000 0.5000 0.5000
0.6979 0.9235 0.5000
0.7795 0.2205 0.0000
0.9235 0.6979 0.5000
```

Record 9
Below is Sm2Ge2Au3 after structural relaxation, with properties calculated at the PBE level.

Results
Total magnetization   0.0 μB per formula unit
Calculated total energy   -33.06 eV per cell
Space-group type   C2/m

Cell and atoms, written as POSCAR:
```
Sm2Ge2Au3
1.0
5.6004 -2.1135 0.0000
5.6004 2.1135 0.0000
-0.7980 0.0000 6.4046
Sm Ge Au
2 2 3
Direct
0.1302 0.1302 0.3208
0.8698 0.8698 0.6792
0.4126 0.4126 0.3477
0.5874 0.5874 0.6523
0.2009 0.2009 0.8511
0.5000 0.5000 0.0000
0.7991 0.7991 0.1489
```

Record 10
Below is SmSnGeAu after structural relaxation, with properties calculated at the PBE level.

Results
Total magnetization   0.0 μB per formula unit
Calculated total energy   -18.24 eV per cell
Space-group type   F-43m

Cell and atoms, written as POSCAR:
```
SmSnGeAu
1.0
0.0000 3.6021 3.6021
3.6021 0.0000 3.6021
3.6021 3.6021 0.0000
Sm Sn Ge Au
1 1 1 1
Direct
0.0000 0.0000 0.0000
0.5000 0.5000 0.5000
0.7500 0.7500 0.7500
0.2500 0.2500 0.2500
```

Record 11
Below is SrSmGe2Au2 after structural relaxation, with properties calculated at the PBE level.

Results
Total magnetization   0.0 μB per formula unit
Calculated total energy   -26.71 eV per cell
Space-group type   P-3m1

Cell and atoms, written as POSCAR:
```
SrSmGe2Au2
1.0
4.5102 0.0000 0.0000
-2.2551 3.9059 0.0000
0.0000 0.0000 8.1808
Sr Sm Ge Au
1 1 2 2
Direct
0.0000 0.0000 0.0000
0.0000 0.0000 0.5000
0.3333 0.6667 0.7162
0.6667 0.3333 0.2838
0.3333 0.6667 0.2650
0.6667 0.3333 0.7350
```

Record 12
Below is SrSmGeAu after structural relaxation, with properties calculated at the PBE level.

Results
Total magnetization   0.0 μB per formula unit
Calculated total energy   -17.01 eV per cell
Space-group type   F-43m

Cell and atoms, written as POSCAR:
```
SrSmGeAu
1.0
0.0000 3.7456 3.7456
3.7456 0.0000 3.7456
3.7456 3.7456 0.0000
Sr Sm Ge Au
1 1 1 1
Direct
0.0000 0.0000 0.0000
0.5000 0.5000 0.5000
0.7500 0.7500 0.7500
0.2500 0.2500 0.2500
```